Entry 1:
Here is crystalline TaIrW2 at its relaxed geometry from Alexandria. Energies are from GGA-PBEsol.

- Formation energy from the elements: 0.113 eV per atom
- Magnetic moment: 0.0 μB/cell
- Electronic total energy: -12.384 eV/atom
- Energy relative to the lowest polymorph listed for this composition: 0.142 eV/atom
- Density of states at the Fermi level: 4.35 states/eV/f.u.

Cell: 4.4622 4.4622 4.4622 Å, 60.00 60.00 60.00°
Fractional positions:
Ta1 0.0000 0.0000 0.0000
Ir1 0.5000 0.5000 0.5000
W1 0.2500 0.2500 0.2500
W2 0.7500 0.7500 0.7500

Entry 2:
Here is crystalline ZnAsSe4 at its relaxed geometry from Alexandria. Energies are from GGA-PBEsol.

- Magnetic moment: 0.0 μB/cell
- Electronic total energy: -3.017 eV/atom
- Density of states at the Fermi level: 4.52 states/eV/f.u.
- Formation energy without anion corrections: 0.664 eV per atom

Cell: 5.5778 5.5778 5.5778 Å, 60.00 60.00 60.00°
Fractional positions:
Zn1 0.0000 0.0000 0.0000
As1 0.7500 0.7500 0.7500
Se1 0.3743 0.3743 0.3743
Se2 0.3743 0.3743 0.8771
Se3 0.3743 0.8771 0.3743
Se4 0.8771 0.3743 0.3743